Computed, not measured: a relaxed structure of Sr6Sb2AsSe at the PBE level of DFT.

Computed properties:
Energy relative to the elements, uncorrected: -11.7 eV/f.u.
D(E_F): 7.21 states/eV per cell
V: 37.60 A^3/atom
Total moment: 1.995 μB per cell

abc: 7.7241 8.6659 13.6088
angles: 90.00 124.35 90.00
Closest atoms and distances in Å follow each position.
Fractional positions:
1 Sr 0.1074 0.0542 0.2477  1 As 3.02, 1 Se 3.08, 2 Sb 3.34-3.36
2 Sr 0.1074 0.4458 0.7477  1 As 3.02, 1 Se 3.08, 2 Sb 3.34-3.36
3 Sr 0.2420 0.6924 0.0664  1 As 3.08, 1 Se 3.10, 1 Sb 3.39
4 Sr 0.2420 0.8076 0.5664  1 As 3.08, 1 Se 3.10, 1 Sb 3.39
5 Sr 0.3881 0.1839 0.0679  1 As 3.04, 1 Se 3.16, 1 Sb 3.37
6 Sr 0.3881 0.3161 0.5679  1 As 3.04, 1 Se 3.16, 1 Sb 3.37
7 Sr 0.6119 0.6839 0.4321  1 As 3.04, 1 Se 3.16, 1 Sb 3.37
8 Sr 0.6119 0.8161 0.9321  1 As 3.04, 1 Se 3.16, 1 Sb 3.37
9 Sr 0.7580 0.1924 0.4336  1 As 3.08, 1 Se 3.10, 1 Sb 3.39
10 Sr 0.7580 0.3076 0.9336  1 As 3.08, 1 Se 3.10, 1 Sb 3.39
11 Sr 0.8926 0.5542 0.2523  1 As 3.02, 1 Se 3.08, 2 Sb 3.34-3.36
12 Sr 0.8926 0.9458 0.7523  1 As 3.02, 1 Se 3.08, 2 Sb 3.34-3.36
13 Sb 0.2884 0.0961 0.7478  6 Sr 3.34-3.54
14 Sb 0.2884 0.4039 0.2478  6 Sr 3.34-3.54
15 Sb 0.7116 0.5961 0.7522  6 Sr 3.34-3.54
16 Sb 0.7116 0.9039 0.2522  6 Sr 3.34-3.54
17 As 0.0000 0.0000 0.0000  6 Sr 3.02-3.08
18 As 0.0000 0.5000 0.5000  6 Sr 3.02-3.08
19 Se 0.5000 0.0000 0.5000  6 Sr 3.08-3.16
20 Se 0.5000 0.5000 0.0000  6 Sr 3.08-3.16

=====

Computed, not measured: a relaxed structure of SrSbAs2Se at the PBE level of DFT.

Computed properties:
Energy relative to the elements, uncorrected: 0.2 eV/f.u.
D(E_F): 3.87 states/eV per cell
V: 29.85 A^3/atom
Total moment: 0.000 μB per cell

abc: 5.1367 5.1367 5.6564
angles: 90.00 90.00 90.00
Closest atoms and distances in Å follow each position.
Fractional positions:
1 Sr 0.0000 0.0000 0.0000  2 Se 2.83
2 Sb 0.5000 0.5000 0.0000  4 Sr 3.63, 8 As 3.82
3 As 0.0000 0.5000 0.5000  2 Se 2.57
4 As 0.5000 0.0000 0.5000  2 Se 2.57
5 Se 0.0000 0.0000 0.5000  4 As 2.57, 2 Sr 2.83

=====

Computed, not measured: a relaxed structure of SrSbAsSe2 at the PBE level of DFT.

Computed properties:
Energy relative to the elements, uncorrected: 2.8 eV/f.u.
D(E_F): 7.58 states/eV per cell
V: 35.63 A^3/atom
Total moment: 0.049 μB per cell

abc: 5.6215 5.6215 5.6379
angles: 90.00 90.00 90.00
Closest atoms and distances in Å follow each position.
Fractional positions:
1 Sr 0.0000 0.0000 0.0000  4 Se 2.81, 2 As 2.82
2 Sb 0.5000 0.5000 0.5000  4 As 3.97, 8 Se 3.98
3 As 0.0000 0.0000 0.5000  2 Sr 2.82
4 Se 0.0000 0.5000 0.0000  2 Sr 2.81
5 Se 0.5000 0.0000 0.0000  2 Sr 2.81

=====

Computed, not measured: a relaxed structure of SrSbAs2Se at the PBE level of DFT.

Computed properties:
Energy relative to the elements, uncorrected: -0.5 eV/f.u.
D(E_F): 4.86 states/eV per cell
V: 30.62 A^3/atom
Total moment: 0.000 μB per cell

abc: 5.2833 5.2833 5.4845
angles: 90.00 90.00 90.00
Closest atoms and distances in Å follow each position.
Fractional positions:
1 Sr 0.0000 0.0000 0.0000  4 Se 3.74, 8 As 3.81
2 Sb 0.5000 0.5000 0.5000  4 As 2.64, 2 Se 2.74
3 As 0.0000 0.5000 0.5000  2 Sb 2.64
4 As 0.5000 0.0000 0.5000  2 Sb 2.64
5 Se 0.5000 0.5000 0.0000  2 Sb 2.74

=====

Computed, not measured: a relaxed structure of SrSbAsSe2 at the PBE level of DFT.

Computed properties:
Energy relative to the elements, uncorrected: -1.7 eV/f.u.
D(E_F): 5.16 states/eV per cell
V: 30.60 A^3/atom
Total moment: 0.000 μB per cell

abc: 5.3858 5.3858 5.2748
angles: 90.00 90.00 90.00
Closest atoms and distances in Å follow each position.
Fractional positions:
1 Sr 0.0000 0.0000 0.0000  8 Se 3.77, 4 As 3.81
2 Sb 0.5000 0.5000 0.5000  2 As 2.64, 4 Se 2.69
3 As 0.5000 0.5000 0.0000  2 Sb 2.64
4 Se 0.0000 0.5000 0.5000  2 Sb 2.69
5 Se 0.5000 0.0000 0.5000  2 Sb 2.69

=====

Computed, not measured: a relaxed structure of SrSbAs2Se8 at the PBE level of DFT.

Computed properties:
Energy relative to the elements, uncorrected: -3.3 eV/f.u.
D(E_F): 9.64 states/eV per cell
V: 27.72 A^3/atom
Total moment: 0.000 μB per cell

abc: 6.3093 6.3093 9.6487
angles: 90.00 90.00 120.00
Closest atoms and distances in Å follow each position.
Fractional positions:
1 Sr 0.0000 0.0000 0.0000  12 Se 3.64-3.72
2 Sb 0.0000 0.0000 0.5000  6 Se 2.87
3 As 0.3333 0.6667 0.7560  4 Se 2.33-2.43
4 As 0.6667 0.3333 0.2440  4 Se 2.33-2.43
5 Se 0.0568 0.6816 0.3098  1 As 2.43
6 Se 0.3184 0.3753 0.3098  1 As 2.43
7 Se 0.3333 0.6667 0.9974  1 As 2.33
8 Se 0.3753 0.0568 0.6902  1 As 2.43
9 Se 0.6247 0.9432 0.3098  1 As 2.43
10 Se 0.6667 0.3333 0.0026  1 As 2.33
11 Se 0.6816 0.6247 0.6902  1 As 2.43
12 Se 0.9432 0.3184 0.6902  1 As 2.43

=====

Computed, not measured: a relaxed structure of SrSbAs2Se at the PBE level of DFT.

Computed properties:
Energy relative to the elements, uncorrected: 4.1 eV/f.u.
D(E_F): 7.61 states/eV per cell
V: 34.99 A^3/atom
Total moment: 0.001 μB per cell

abc: 5.6138 5.6138 5.5513
angles: 90.00 90.00 90.00
Closest atoms and distances in Å follow each position.
Fractional positions:
1 Sr 0.0000 0.0000 0.0000  2 Se 2.78, 4 As 2.81
2 Sb 0.5000 0.5000 0.5000  8 As 3.95, 4 Se 3.97
3 As 0.0000 0.5000 0.0000  2 Sr 2.81
4 As 0.5000 0.0000 0.0000  2 Sr 2.81
5 Se 0.0000 0.0000 0.5000  2 Sr 2.78

=====

Computed, not measured: a relaxed structure of TaSbAs2Se at the PBE level of DFT.

Computed properties:
Energy relative to the elements, uncorrected: 7.3 eV/f.u.
D(E_F): 6.36 states/eV per cell
V: 26.49 A^3/atom
Total moment: 0.061 μB per cell

abc: 5.0934 5.0934 5.1048
angles: 90.00 90.00 90.00
Closest atoms and distances in Å follow each position.
Fractional positions:
1 Ta 0.0000 0.0000 0.0000  4 Se 3.60, 8 As 3.61
2 Sb 0.5000 0.5000 0.5000  4 As 2.55, 2 Se 2.55
3 As 0.0000 0.5000 0.5000  2 Sb 2.55
4 As 0.5000 0.0000 0.5000  2 Sb 2.55
5 Se 0.5000 0.5000 0.0000  2 Sb 2.55

=====

Computed, not measured: a relaxed structure of TaSbAs2Se at the PBE level of DFT.

Computed properties:
Energy relative to the elements, uncorrected: 1.5 eV/f.u.
D(E_F): 4.70 states/eV per cell
V: 25.43 A^3/atom
Total moment: 0.000 μB per cell

abc: 5.0978 5.0978 4.8934
angles: 90.00 90.00 90.00
Closest atoms and distances in Å follow each position.
Fractional positions:
1 Ta 0.0000 0.0000 0.0000  2 Se 2.45, 4 As 2.55
2 Sb 0.5000 0.5000 0.5000  8 As 3.53, 4 Se 3.60
3 As 0.0000 0.5000 0.0000  2 Ta 2.55
4 As 0.5000 0.0000 0.0000  2 Ta 2.55
5 Se 0.0000 0.0000 0.5000  2 Ta 2.45

=====

Computed, not measured: a relaxed structure of Tb6Sb3AsSe2 at the PBE level of DFT.

Computed properties:
Energy relative to the elements, uncorrected: -17.2 eV/f.u.
D(E_F): 3.77 states/eV per cell
V: 27.38 A^3/atom
Total moment: 0.000 μB per cell

abc: 9.5373 9.5373 8.5217
angles: 102.98 102.98 25.82
Closest atoms and distances in Å follow each position.
Fractional positions:
1 Tb 0.0013 0.0013 0.2374  2 As 2.93, 1 Se 3.00, 3 Sb 3.08-3.09
2 Tb 0.3323 0.3323 0.4218  3 Se 2.97-2.99, 3 Sb 3.03-3.04
3 Tb 0.3393 0.3393 0.9143  1 As 2.91, 2 Se 2.99, 3 Sb 3.06-3.09
4 Tb 0.6607 0.6607 0.0857  1 As 2.91, 2 Se 2.99, 3 Sb 3.06-3.09
5 Tb 0.6677 0.6677 0.5782  3 Se 2.97-2.99, 3 Sb 3.03-3.04
6 Tb 0.9987 0.9987 0.7626  2 As 2.93, 1 Se 3.00, 3 Sb 3.08-3.09
7 Sb 0.1686 0.1686 0.8333  6 Tb 3.04-3.09
8 Sb 0.5000 0.5000 0.5000  6 Tb 3.03-3.09
9 Sb 0.8314 0.8314 0.1667  6 Tb 3.04-3.09
10 As 0.5000 0.5000 0.0000  6 Tb 2.91-2.93
11 Se 0.1670 0.1670 0.3343  6 Tb 2.97-3.00
12 Se 0.8330 0.8330 0.6657  6 Tb 2.97-3.00

=====

Computed, not measured: a relaxed structure of Tb4Sb2AsSe at the PBE level of DFT.

Computed properties:
Energy relative to the elements, uncorrected: -11.4 eV/f.u.
D(E_F): 1.51 states/eV per cell
V: 27.39 A^3/atom
Total moment: 0.000 μB per cell

abc: 7.3702 4.2587 7.3972
angles: 90.00 109.32 90.00
Closest atoms and distances in Å follow each position.
Fractional positions:
1 Tb 0.2408 0.0000 0.2352  2 As 2.94, 1 Se 2.98, 3 Sb 3.05-3.09
2 Tb 0.2490 0.5000 0.7616  1 As 2.94, 2 Se 2.98, 3 Sb 3.05-3.09
3 Tb 0.7510 0.5000 0.2384  1 As 2.94, 2 Se 2.98, 3 Sb 3.05-3.09
4 Tb 0.7592 0.0000 0.7648  2 As 2.94, 1 Se 2.98, 3 Sb 3.05-3.09
5 Sb 0.0000 0.0000 0.5000  6 Tb 3.05
6 Sb 0.5000 0.5000 0.5000  6 Tb 3.09
7 As 0.0000 0.5000 0.0000  6 Tb 2.94
8 Se 0.5000 0.0000 0.0000  6 Tb 2.98

=====

Computed, not measured: a relaxed structure of Tb4SbAsSe2 at the PBE level of DFT.

Computed properties:
Energy relative to the elements, uncorrected: -12.6 eV/f.u.
D(E_F): 3.44 states/eV per cell
V: 26.05 A^3/atom
Total moment: 0.000 μB per cell

abc: 7.2202 4.1935 7.3058
angles: 90.00 109.58 90.00
Closest atoms and distances in Å follow each position.
Fractional positions:
1 Tb 0.2447 0.0000 0.2370  2 As 2.91, 3 Se 2.92-3.02, 1 Sb 3.02
2 Tb 0.2540 0.5000 0.7641  1 As 2.91, 3 Se 2.91-3.03, 2 Sb 3.02
3 Tb 0.7460 0.5000 0.2359  1 As 2.91, 3 Se 2.91-3.03, 2 Sb 3.02
4 Tb 0.7553 0.0000 0.7630  2 As 2.91, 3 Se 2.92-3.02, 1 Sb 3.02
5 Sb 0.0000 0.0000 0.5000  6 Tb 3.02
6 As 0.0000 0.5000 0.0000  6 Tb 2.91
7 Se 0.5000 0.0000 0.0000  6 Tb 2.91-2.92
8 Se 0.5000 0.5000 0.5000  6 Tb 3.02-3.03